[1]
Below is a relaxed structure of Ba2NaSi, with properties calculated at the PBE level.

Cell and atoms, written as CIF:
```
data_Ba2NaSi
_space_group_name_H-M_alt 'P 1'
_space_group_IT_number 1
_cell_length_a 5.825
_cell_length_b 5.825
_cell_length_c 21.361
_cell_angle_alpha 90.00
_cell_angle_beta 90.00
_cell_angle_gamma 90.00
loop_
_space_group_symop_operation_xyz
'x,y,z'
loop_
_atom_site_label
_atom_site_type_symbol
_atom_site_fract_x
_atom_site_fract_y
_atom_site_fract_z
Ba1 Ba 0.212 0.250 0.125
Ba2 Ba 0.250 0.712 0.375
Ba3 Ba 0.250 0.788 0.875
Ba4 Ba 0.288 0.250 0.625
Ba5 Ba 0.712 0.750 0.625
Ba6 Ba 0.750 0.212 0.875
Ba7 Ba 0.750 0.288 0.375
Ba8 Ba 0.788 0.750 0.125
Na1 Na 0.000 0.000 0.500
Na2 Na 0.000 0.500 0.750
Na3 Na 0.500 0.000 0.250
Na4 Na 0.500 0.500 0.000
Si1 Si 0.000 0.000 0.000
Si2 Si 0.000 0.500 0.250
Si3 Si 0.500 0.000 0.750
Si4 Si 0.500 0.500 0.500
```

Values from the calculation:
* energy above the lowest structure with this stoichiometry: 524.2 meV/atom
* total moment: 0.00 μB per formula unit
* crystal system: tetragonal
* formation energy from raw total energies: 337 meV/atom

***

[2]
Below is a relaxed structure of BaHg2Bi2, with properties calculated at the PBE level.

Cell and atoms, written as CIF:
```
data_BaHg2Bi2
_space_group_name_H-M_alt 'P 1'
_space_group_IT_number 1
_cell_length_a 9.150
_cell_length_b 9.150
_cell_length_c 3.901
_cell_angle_alpha 90.00
_cell_angle_beta 90.00
_cell_angle_gamma 90.00
loop_
_space_group_symop_operation_xyz
'x,y,z'
loop_
_atom_site_label
_atom_site_type_symbol
_atom_site_fract_x
_atom_site_fract_y
_atom_site_fract_z
Ba1 Ba 0.000 0.000 0.000
Ba2 Ba 0.500 0.500 0.000
Hg1 Hg 0.166 0.334 0.500
Hg2 Hg 0.334 0.834 0.500
Hg3 Hg 0.666 0.166 0.500
Hg4 Hg 0.834 0.666 0.500
Bi1 Bi 0.129 0.629 0.000
Bi2 Bi 0.371 0.129 0.000
Bi3 Bi 0.629 0.871 0.000
Bi4 Bi 0.871 0.371 0.000
```

Values from the calculation:
* energy above the lowest structure with this stoichiometry: 204.9 meV/atom
* total moment: 0.10 μB per formula unit
* crystal system: tetragonal
* energy of formation from the pure elements: -0.21 eV/atom

***

[3]
Below is a relaxed structure of PrPu4Se6, with properties calculated at the PBE level.

Cell and atoms, written as CIF:
```
data_PrPu4Se6
_space_group_name_H-M_alt 'P 1'
_space_group_IT_number 1
_cell_length_a 7.154
_cell_length_b 7.154
_cell_length_c 21.079
_cell_angle_alpha 90.00
_cell_angle_beta 90.00
_cell_angle_gamma 146.57
loop_
_space_group_symop_operation_xyz
'x,y,z'
loop_
_atom_site_label
_atom_site_type_symbol
_atom_site_fract_x
_atom_site_fract_y
_atom_site_fract_z
Pr1 Pr 0.154 0.846 0.750
Pr2 Pr 0.846 0.154 0.250
Pu1 Pu 0.092 0.908 0.129
Pu2 Pu 0.092 0.908 0.371
Pu3 Pu 0.362 0.638 0.040
Pu4 Pu 0.362 0.638 0.460
Pu5 Pu 0.638 0.362 0.540
Pu6 Pu 0.638 0.362 0.960
Pu7 Pu 0.908 0.092 0.629
Pu8 Pu 0.908 0.092 0.871
Se1 Se 0.000 0.000 0.000
Se2 Se 0.000 0.000 0.500
Se3 Se 0.188 0.812 0.250
Se4 Se 0.270 0.730 0.588
Se5 Se 0.270 0.730 0.912
Se6 Se 0.453 0.547 0.167
Se7 Se 0.453 0.547 0.333
Se8 Se 0.547 0.453 0.667
Se9 Se 0.547 0.453 0.833
Se10 Se 0.730 0.270 0.088
Se11 Se 0.730 0.270 0.412
Se12 Se 0.812 0.188 0.750
```

Values from the calculation:
* total moment: 0.13 μB per formula unit
* crystal system: orthorhombic
* formation energy from raw total energies: -1544 meV/atom

***

[4]
Below is a relaxed structure of Ho3Tm3In2, with properties calculated at the PBE level.

Cell and atoms, written as CIF:
```
data_Ho3Tm3In2
_space_group_name_H-M_alt 'P 1'
_space_group_IT_number 1
_cell_length_a 4.801
_cell_length_b 4.803
_cell_length_c 9.596
_cell_angle_alpha 90.00
_cell_angle_beta 90.00
_cell_angle_gamma 90.00
loop_
_space_group_symop_operation_xyz
'x,y,z'
loop_
_atom_site_label
_atom_site_type_symbol
_atom_site_fract_x
_atom_site_fract_y
_atom_site_fract_z
Ho1 Ho 0.000 0.000 0.000
Ho2 Ho 0.000 0.000 0.500
Ho3 Ho 0.500 0.500 0.000
Tm1 Tm 0.000 0.500 0.251
Tm2 Tm 0.000 0.500 0.749
Tm3 Tm 0.500 0.500 0.500
In1 In 0.500 0.000 0.251
In2 In 0.500 0.000 0.749
```

Values from the calculation:
* total moment: 0.00 μB per formula unit
* crystal system: orthorhombic
* energy of formation from the pure elements: -0.26 eV/atom

***

[5]
Below is a relaxed structure of Os4RuW, with properties calculated at the PBE level.

Cell and atoms, written as CIF:
```
data_Os4RuW
_space_group_name_H-M_alt 'P 1'
_space_group_IT_number 1
_cell_length_a 6.959
_cell_length_b 6.959
_cell_length_c 4.345
_cell_angle_alpha 108.12
_cell_angle_beta 108.12
_cell_angle_gamma 65.81
loop_
_space_group_symop_operation_xyz
'x,y,z'
loop_
_atom_site_label
_atom_site_type_symbol
_atom_site_fract_x
_atom_site_fract_y
_atom_site_fract_z
Os1 Os 0.116 0.628 0.625
Os2 Os 0.169 0.335 0.002
Os3 Os 0.335 0.169 0.502
Os4 Os 0.372 0.884 0.875
Os5 Os 0.628 0.116 0.125
Os6 Os 0.665 0.831 0.498
Os7 Os 0.831 0.665 0.998
Os8 Os 0.884 0.372 0.375
Ru1 Ru 0.420 0.580 0.250
Ru2 Ru 0.580 0.420 0.750
W1 W 0.095 0.905 0.250
W2 W 0.905 0.095 0.750
```

Values from the calculation:
* energy above the lowest structure with this stoichiometry: 0.0 meV/atom
* total moment: 0.00 μB per formula unit
* crystal system: monoclinic
* energy of formation from the pure elements: 0.29 eV/atom

***

[6]
Below is a relaxed structure of SrCd3InHg6, with properties calculated at the PBE level.

Cell and atoms, written as CIF:
```
data_SrCd3InHg6
_space_group_name_H-M_alt 'P 1'
_space_group_IT_number 1
_cell_length_a 7.047
_cell_length_b 7.047
_cell_length_c 7.047
_cell_angle_alpha 106.10
_cell_angle_beta 106.10
_cell_angle_gamma 106.10
loop_
_space_group_symop_operation_xyz
'x,y,z'
loop_
_atom_site_label
_atom_site_type_symbol
_atom_site_fract_x
_atom_site_fract_y
_atom_site_fract_z
Sr1 Sr 0.000 0.000 0.000
Cd1 Cd 0.075 0.270 0.593
Cd2 Cd 0.270 0.593 0.075
Cd3 Cd 0.593 0.075 0.270
In1 In 0.446 0.446 0.446
Hg1 Hg 0.263 0.931 0.452
Hg2 Hg 0.449 0.790 0.808
Hg3 Hg 0.452 0.263 0.931
Hg4 Hg 0.790 0.808 0.449
Hg5 Hg 0.808 0.449 0.790
Hg6 Hg 0.931 0.452 0.263
```

Values from the calculation:
* total moment: 0.00 μB per formula unit
* crystal system: trigonal
* energy of formation from the pure elements: -0.11 eV/atom

***

- Which formula does entry 2 have?
  BaHg2Bi2